Density functional theory data (GGA+U) for a geometry-optimized MnFe2TeO8 structure.

Structure (POSCAR):
```
MnFe2TeO8
1.0
4.543 -0.076 -0.003
-0.045 4.480 -0.005
0.004 0.006 6.034
Mn O Fe Te
1 8 2 1
Cartesian
0.002 0.003 3.017
1.423 1.306 -0.002
1.432 1.277 3.015
3.079 3.105 6.028
0.799 3.559 4.514
0.797 3.556 1.511
3.070 3.134 3.012
3.703 0.851 1.512
3.705 0.855 4.515
2.250 2.204 1.551
2.252 2.207 4.475
0.000 0.000 0.000
```

Properties
Calculated total energy = -73.13 eV for the cell shown